Crystalline Fe6Pt5Rh at its relaxed geometry. Source: Alexandria via LeMat-Bulk, functional PBE.

Geometry as extended XYZ:
```
12
Lattice="-1.935 3.733 5.792 1.935 -3.733 5.792 1.935 3.733 -5.792" Properties=species:S:1:pos:R:3 pbc="T T T"
Fe 1.935 1.854 -1.920
Fe 0.000 1.842 0.000
Fe 1.935 1.854 1.920
Fe 0.000 1.879 3.872
Fe 0.000 5.624 0.000
Fe 0.000 1.879 7.712
Pt 0.000 0.000 1.930
Pt 1.935 0.000 3.867
Pt 0.000 0.000 5.792
Pt 0.000 3.733 1.925
Pt 0.000 0.000 9.654
Rh 1.935 0.000 0.000
```

The space group is Immm (71). The energy relative to the elements comes out at -0.2099 eV/atom.

***

Crystalline Fe4PtRh3 at its relaxed geometry. Source: Alexandria via LeMat-Bulk, functional PBE.

Geometry as extended XYZ:
```
16
Lattice="8.673 0.000 0.000 0.000 5.782 0.000 0.000 0.000 4.397" Properties=species:S:1:pos:R:3 pbc="T T T"
Fe 0.000 1.443 0.000
Fe 0.000 4.339 0.000
Fe 2.168 1.431 1.881
Fe 2.168 4.350 1.881
Fe 4.336 1.443 0.000
Fe 4.336 4.339 0.000
Fe 6.505 1.431 2.516
Fe 6.505 4.350 2.516
Pt 0.000 2.891 2.199
Pt 4.336 2.891 2.199
Rh 0.000 0.000 2.199
Rh 2.168 0.000 4.121
Rh 2.168 2.891 4.073
Rh 4.336 0.000 2.199
Rh 6.505 0.000 0.276
Rh 6.505 2.891 0.325
```

The space group is Pmma (51). The energy relative to the elements comes out at -0.0645 eV/atom.

***

Crystalline FePt4Rh2 at its relaxed geometry. Source: Alexandria via LeMat-Bulk, functional PBE.

Geometry as extended XYZ:
```
28
Lattice="0.000 6.092 6.092 6.092 0.000 6.092 6.092 6.092 0.000" Properties=species:S:1:pos:R:3 pbc="T T T"
Fe 0.000 0.000 0.000
Fe 3.046 3.046 0.000
Fe 3.046 0.000 3.046
Fe 0.000 3.046 3.046
Pt 6.092 3.046 3.046
Pt 4.569 4.569 1.260
Pt 4.569 1.260 4.569
Pt 7.878 4.569 4.569
Pt 7.615 7.615 4.305
Pt 7.615 4.305 7.615
Pt 10.924 7.615 7.615
Pt 3.046 6.092 3.046
Pt 3.046 3.046 6.092
Pt 6.092 6.092 6.092
Pt 1.260 4.569 4.569
Pt 4.569 7.878 4.569
Pt 4.569 4.569 7.878
Pt 4.305 7.615 7.615
Pt 7.615 10.924 7.615
Pt 7.615 7.615 10.924
Rh 3.286 3.286 3.286
Rh 5.852 5.852 3.286
Rh 5.852 3.286 5.852
Rh 8.898 6.332 6.332
Rh 3.286 5.852 5.852
Rh 6.332 8.898 6.332
Rh 6.332 6.332 8.898
Rh 8.898 8.898 8.898
```

The space group is Fd-3m (227). The energy relative to the elements comes out at 0.1998 eV/atom.

***

Crystalline Fe5Pt4Rh2 at its relaxed geometry. Source: Alexandria via LeMat-Bulk, functional PBE.

Geometry as extended XYZ:
```
11
Lattice="6.664 0.000 0.000 0.000 2.689 0.000 -0.516 0.000 8.764" Properties=species:S:1:pos:R:3 pbc="T T T"
Fe 0.000 0.000 0.000
Fe 0.352 0.000 2.496
Fe 1.564 0.000 7.312
Fe 4.584 0.000 1.452
Fe 5.797 0.000 6.268
Pt 1.003 1.344 4.969
Pt 2.133 1.344 0.842
Pt 4.015 1.344 7.922
Pt 5.146 1.344 3.795
Rh 2.764 0.000 3.162
Rh 3.385 0.000 5.602
```

The space group is P2/m (10). The energy relative to the elements comes out at -0.0478 eV/atom.

***

Crystalline Fe5Pt2Rh4 at its relaxed geometry. Source: Alexandria via LeMat-Bulk, functional PBE.

Geometry as extended XYZ:
```
11
Lattice="6.610 0.000 0.000 0.000 2.675 0.000 -0.586 0.000 8.750" Properties=species:S:1:pos:R:3 pbc="T T T"
Fe 0.000 0.000 0.000
Fe 0.272 0.000 2.506
Fe 1.498 0.000 7.336
Fe 4.525 0.000 1.414
Fe 5.752 0.000 6.244
Pt 2.699 0.000 3.114
Pt 3.325 0.000 5.636
Rh 0.951 1.338 4.947
Rh 2.090 1.338 0.806
Rh 3.934 1.338 7.944
Rh 5.073 1.338 3.803
```

The space group is P2/m (10). The energy relative to the elements comes out at 0.0510 eV/atom.

***

Crystalline FePt3Rh12 at its relaxed geometry. Source: Alexandria via LeMat-Bulk, functional PBE.

Geometry as extended XYZ:
```
16
Lattice="3.860 0.000 0.000 0.000 3.860 0.000 0.000 0.000 15.400" Properties=species:S:1:pos:R:3 pbc="T T T"
Fe 0.000 0.000 0.000
Pt 0.000 0.000 3.826
Pt 0.000 0.000 7.700
Pt 0.000 0.000 11.574
Rh 0.000 1.930 1.854
Rh 0.000 1.930 5.757
Rh 0.000 1.930 9.644
Rh 0.000 1.930 13.546
Rh 1.930 0.000 1.854
Rh 1.930 0.000 5.757
Rh 1.930 0.000 9.644
Rh 1.930 0.000 13.546
Rh 1.930 1.930 0.000
Rh 1.930 1.930 3.810
Rh 1.930 1.930 7.700
Rh 1.930 1.930 11.591
```

The space group is P4/mmm (123). The energy relative to the elements comes out at -0.0280 eV/atom.

***

What did the fourth record say?
Crystalline Fe5Pt4Rh2 at its relaxed geometry. Source: Alexandria via LeMat-Bulk, functional PBE.

Geometry as extended XYZ:
```
11
Lattice="6.664 0.000 0.000 0.000 2.689 0.000 -0.516 0.000 8.764" Properties=species:S:1:pos:R:3 pbc="T T T"
Fe 0.000 0.000 0.000
Fe 0.352 0.000 2.496
Fe 1.564 0.000 7.312
Fe 4.584 0.000 1.452
Fe 5.797 0.000 6.268
Pt 1.003 1.344 4.969
Pt 2.133 1.344 0.842
Pt 4.015 1.344 7.922
Pt 5.146 1.344 3.795
Rh 2.764 0.000 3.162
Rh 3.385 0.000 5.602
```

The space group is P2/m (10). The energy relative to the elements comes out at -0.0478 eV/atom.

***

Q: What is the formula in the fourth record?
A: Fe5Pt4Rh2

***

Q: The highest energy relative to the elements belongs to which entry?
A: FePt4Rh2